NaMoP2Cl | the Alexandria database | PBE | optimized geometry; raw formation energy = -0.188 eV/atom; energy = -25.758 eV/cell
1.0
4.634 0.000 0.000
0.000 4.634 0.000
0.000 0.000 5.372
Na Mo P Cl
1 1 2 1
Direct
0.000 0.000 0.000
0.500 0.500 0.500
0.000 0.500 0.500
0.500 0.000 0.500
0.500 0.500 0.000

---

NaMoPCl2 | the Alexandria database | PBE | optimized geometry; raw formation energy = 0.698 eV/atom; energy = -17.766 eV/cell
1.0
4.803 0.000 0.000
0.000 4.803 0.000
0.000 0.000 5.409
Na Mo P Cl
1 1 1 2
Direct
0.000 0.000 0.000
0.500 0.500 0.500
0.000 0.000 0.500
0.000 0.500 0.000
0.500 0.000 0.000

---

NaMoPCl2 | the Alexandria database | PBE | optimized geometry; raw formation energy = -0.410 eV/atom; energy = -23.304 eV/cell
1.0
5.093 0.000 0.000
0.000 5.093 0.000
0.000 0.000 4.675
Na Mo P Cl
1 1 1 2
Direct
0.000 0.000 0.000
0.500 0.500 0.500
0.500 0.500 0.000
0.000 0.500 0.500
0.500 0.000 0.500